Entry 1:
PBE Pm2Ge2Pd3, optimized geometry; offset from the most stable computed form = 0.086 eV/atom
1.0
4.040 0.000 -0.963
0.000 7.052 0.000
0.266 0.000 10.071
Pm Pd Ge
4 6 4
direct
0.843 0.750 0.687 Pm
0.157 0.250 0.313 Pm
0.056 0.750 0.112 Pm
0.944 0.250 0.888 Pm
0.436 0.944 0.873 Pd
0.564 0.444 0.127 Pd
0.436 0.556 0.873 Pd
0.564 0.056 0.127 Pd
0.780 0.250 0.560 Pd
0.220 0.750 0.440 Pd
0.688 0.947 0.376 Ge
0.688 0.553 0.376 Ge
0.312 0.053 0.624 Ge
0.312 0.447 0.624 Ge



Entry 2:
PBE Pm3GePd3, optimized geometry; offset from the most stable computed form = 0.000 eV/atom
1.0
4.047 0.000 0.610
1.988 5.355 0.538
-0.161 0.105 14.808
Pd Pm Ge
6 6 2
direct
0.118 0.839 0.924 Pd
0.882 0.161 0.076 Pd
0.024 0.183 0.768 Pd
0.976 0.817 0.232 Pd
0.152 0.229 0.468 Pd
0.848 0.771 0.532 Pd
0.604 0.715 0.076 Pm
0.519 0.349 0.614 Pm
0.258 0.252 0.231 Pm
0.481 0.651 0.386 Pm
0.396 0.285 0.924 Pm
0.742 0.748 0.769 Pm
0.766 0.086 0.382 Ge
0.234 0.914 0.618 Ge



Entry 3:
Density functional theory data (PBE) for crystalline Pm2Ge5Pd3 at its relaxed geometry.

Geometry as POSCAR:
```
Pm2Ge5Pd3
1.0
6.207 0.000 0.000
3.104 7.938 0.033
3.104 1.257 7.838
Ge Pm Pd
10 4 6
direct
0.894 0.950 0.262 Ge
0.394 0.262 0.950 Ge
0.975 0.775 0.775 Ge
0.750 0.500 0.500 Ge
0.106 0.050 0.738 Ge
0.250 0.500 0.500 Ge
0.606 0.738 0.050 Ge
0.025 0.225 0.225 Ge
0.475 0.775 0.775 Ge
0.525 0.225 0.225 Ge
0.130 0.601 0.139 Pm
0.870 0.399 0.861 Pm
0.370 0.861 0.399 Pm
0.630 0.139 0.601 Pm
0.141 0.249 0.469 Pd
0.359 0.531 0.751 Pd
0.859 0.751 0.531 Pd
0.750 0.000 0.000 Pd
0.250 0.000 0.000 Pd
0.641 0.469 0.249 Pd
```



Entry 4:
Density functional theory data (PBE) for crystalline Pm2Ge6Pd21 at its relaxed geometry.

Geometry as POSCAR:
```
Pm2Ge6Pd21
1.0
-4.906 -1.720 7.133
-7.908 -3.816 -0.898
-1.199 -8.341 2.625
Ge Pd Pm
6 21 2
direct
0.735 0.265 0.265 Ge
0.265 0.735 0.265 Ge
0.265 0.735 0.735 Ge
0.735 0.265 0.735 Ge
0.735 0.735 0.265 Ge
0.265 0.265 0.735 Ge
0.653 0.000 0.347 Pd
0.000 0.000 0.653 Pd
0.000 0.653 0.000 Pd
0.851 0.383 0.383 Pd
0.000 0.653 0.347 Pd
0.347 0.000 0.000 Pd
0.617 0.617 0.149 Pd
0.149 0.617 0.617 Pd
0.653 0.000 0.000 Pd
0.000 0.347 0.653 Pd
0.000 0.347 0.000 Pd
0.000 0.000 0.000 Pd
0.617 0.149 0.617 Pd
0.347 0.000 0.653 Pd
0.653 0.347 0.000 Pd
0.000 0.000 0.347 Pd
0.347 0.653 0.000 Pd
0.383 0.851 0.383 Pd
0.383 0.383 0.383 Pd
0.617 0.617 0.617 Pd
0.383 0.383 0.851 Pd
0.250 0.250 0.250 Pm
0.750 0.750 0.750 Pm
```



Entry 5:
PBE PmGePd4, optimized geometry; offset from the most stable computed form = 0.000 eV/atom
1.0
3.970 0.000 0.000
0.000 7.049 0.000
0.000 0.000 7.754
Pd Ge Pm
8 2 2
direct
0.500 0.048 0.250 Pd
0.500 0.306 0.945 Pd
0.000 0.000 0.500 Pd
0.500 0.952 0.750 Pd
0.500 0.694 0.055 Pd
0.500 0.694 0.445 Pd
0.000 0.000 0.000 Pd
0.500 0.306 0.555 Pd
0.000 0.215 0.750 Ge
0.000 0.785 0.250 Ge
0.000 0.360 0.250 Pm
0.000 0.640 0.750 Pm



Entry 6:
Density functional theory data (PBE) for crystalline Pm2Ge4Pd5 at its relaxed geometry.

Geometry as POSCAR:
```
Pm2Ge4Pd5
1.0
5.758 0.000 0.000
2.879 4.930 0.000
2.879 0.000 7.485
Pm Ge Pd
2 4 5
direct
0.139 0.000 0.721 Pm
0.861 0.000 0.279 Pm
0.487 0.292 0.734 Ge
0.779 0.708 0.734 Ge
0.513 0.708 0.266 Ge
0.221 0.292 0.266 Ge
0.000 0.500 0.000 Pd
0.250 0.500 0.500 Pd
0.500 0.000 0.000 Pd
0.500 0.500 0.000 Pd
0.750 0.500 0.500 Pd
```



Entry 7:
PBE Pm2Ge2Pd3, optimized geometry; offset from the most stable computed form = 0.000 eV/atom
1.0
4.066 0.000 0.000
-2.033 5.259 -0.153
0.000 -2.605 6.582
Ge Pd Pm
2 3 2
direct
0.845 0.691 0.778 Ge
0.155 0.309 0.222 Ge
0.500 0.000 0.000 Pd
0.624 0.248 0.434 Pd
0.376 0.752 0.566 Pd
0.131 0.262 0.767 Pm
0.869 0.738 0.233 Pm



Entry 8:
PBE Pm3Ge3Pd, optimized geometry; offset from the most stable computed form = 0.347 eV/atom
1.0
5.884 0.000 0.000
0.000 8.676 0.000
0.000 -4.338 7.514
Pm Ge Pd
6 6 2
direct
0.250 0.079 0.689 Pm
0.750 0.921 0.311 Pm
0.750 0.390 0.079 Pm
0.750 0.689 0.610 Pm
0.250 0.311 0.390 Pm
0.250 0.610 0.921 Pm
0.750 0.641 0.925 Ge
0.250 0.716 0.641 Ge
0.250 0.925 0.284 Ge
0.750 0.075 0.716 Ge
0.250 0.359 0.075 Ge
0.750 0.284 0.359 Ge
0.250 0.667 0.333 Pd
0.750 0.333 0.667 Pd



Energy of formation per entry: -773 -823 -745 -558 -670 -662 -859 -552 meV per atom